## LiTmAu2 (meta-GGA SCAN)

Data for a PBEsol-optimized structure of LiTmAu2.

Results
Formation energy from the elements, eV per atom: -0.90
VASP energy, eV per atom: -49.029
Volume, Å³ per atom: 18.62

Geometry as CIF:
```
data_LiTmAu2
_chemical_formula_sum 'Li4 Tm4 Au8'
_space_group_name_H-M_alt 'F m -3 m'
_space_group_IT_number 225
_space_group_name_Hall '-F 4 2 3'
_cell_length_a 6.6789
_cell_length_b 6.6789
_cell_length_c 6.6789
_cell_angle_alpha 90.00
_cell_angle_beta 90.00
_cell_angle_gamma 90.00
loop_
_atom_site_label
_atom_site_type_symbol
_atom_site_fract_x
_atom_site_fract_y
_atom_site_fract_z
_atom_site_occupancy
Li1 Li 0.0000 0.0000 0.0000 1
Tm1 Tm 0.0000 0.0000 0.5000 1
Au1 Au 0.2500 0.2500 0.2500 1
```

---

## LiTm2Au (meta-GGA SCAN)

Data for a PBEsol-optimized structure of LiTm2Au.

Results
Formation energy from the elements, eV per atom: -0.60
VASP energy, eV per atom: -44.401
Volume, Å³ per atom: 21.46

Geometry as CIF:
```
data_LiTm2Au
_chemical_formula_sum 'Li4 Tm8 Au4'
_space_group_name_H-M_alt 'F m -3 m'
_space_group_IT_number 225
_space_group_name_Hall '-F 4 2 3'
_cell_length_a 7.0028
_cell_length_b 7.0028
_cell_length_c 7.0028
_cell_angle_alpha 90.00
_cell_angle_beta 90.00
_cell_angle_gamma 90.00
loop_
_atom_site_label
_atom_site_type_symbol
_atom_site_fract_x
_atom_site_fract_y
_atom_site_fract_z
_atom_site_occupancy
Li1 Li 0.0000 0.0000 0.0000 1
Tm1 Tm 0.2500 0.2500 0.2500 1
Au1 Au 0.0000 0.0000 0.5000 1
```

---

## LiW2Au (meta-GGA SCAN)

Data for a PBEsol-optimized structure of LiW2Au.

Results
Formation energy from the elements, eV per atom: 0.56
VASP energy, eV per atom: -52.172
ΔE to the lowest computed polymorph, meV per atom: 401
Volume, Å³ per atom: 15.96

Geometry as CIF:
```
data_LiW2Au
_chemical_formula_sum 'Li3 W6 Au3'
_space_group_name_H-M_alt 'R -3 m'
_space_group_IT_number 166
_space_group_name_Hall '-R 3 2"'
_cell_length_a 2.7464
_cell_length_b 2.7464
_cell_length_c 29.3242
_cell_angle_alpha 90.00
_cell_angle_beta 90.00
_cell_angle_gamma 120.00
loop_
_atom_site_label
_atom_site_type_symbol
_atom_site_fract_x
_atom_site_fract_y
_atom_site_fract_z
_atom_site_occupancy
Li1 Li 0.0000 0.0000 0.0000 1
W1 W 0.0000 0.0000 0.2485 1
Au1 Au 0.0000 0.0000 0.5000 1
```

---

## LiW2Au (meta-GGA SCAN)

Data for a PBEsol-optimized structure of LiW2Au.

Results
Formation energy from the elements, eV per atom: 0.40
VASP energy, eV per atom: -52.334
ΔE to the lowest computed polymorph, meV per atom: 239
Volume, Å³ per atom: 15.10

Geometry as CIF:
```
data_LiW2Au
_chemical_formula_sum 'Li2 W4 Au2'
_space_group_name_H-M_alt 'I -4 m 2'
_space_group_IT_number 119
_space_group_name_Hall 'I -4 -2'
_cell_length_a 4.0394
_cell_length_b 4.0394
_cell_length_c 7.4020
_cell_angle_alpha 90.00
_cell_angle_beta 90.00
_cell_angle_gamma 90.00
loop_
_atom_site_label
_atom_site_type_symbol
_atom_site_fract_x
_atom_site_fract_y
_atom_site_fract_z
_atom_site_occupancy
Li1 Li 0.0000 0.0000 0.0000 1
W1 W 0.0000 0.0000 0.5000 1
W2 W 0.0000 0.5000 0.2500 1
Au1 Au 0.0000 0.5000 0.7500 1
```

---

## LiW2Au (meta-GGA SCAN)

Data for a PBEsol-optimized structure of LiW2Au.

Results
Formation energy from the elements, eV per atom: 0.62
VASP energy, eV per atom: -52.110
ΔE to the lowest computed polymorph, meV per atom: 463
Volume, Å³ per atom: 15.54

Geometry as CIF:
```
data_LiW2Au
_chemical_formula_sum 'Li1 W2 Au1'
_space_group_name_H-M_alt 'P 4/m m m'
_space_group_IT_number 123
_space_group_name_Hall '-P 4 2'
_cell_length_a 2.6383
_cell_length_b 2.6383
_cell_length_c 8.9321
_cell_angle_alpha 90.00
_cell_angle_beta 90.00
_cell_angle_gamma 90.00
loop_
_atom_site_label
_atom_site_type_symbol
_atom_site_fract_x
_atom_site_fract_y
_atom_site_fract_z
_atom_site_occupancy
Li1 Li 0.0000 0.0000 0.0000 1
W1 W 0.5000 0.5000 0.2476 1
Au1 Au 0.0000 0.0000 0.5000 1
```

---

## LiW2Au (meta-GGA SCAN)

Data for a PBEsol-optimized structure of LiW2Au.

Results
Formation energy from the elements, eV per atom: 0.24
VASP energy, eV per atom: -52.486
ΔE to the lowest computed polymorph, meV per atom: 87
Volume, Å³ per atom: 14.83

Geometry as CIF:
```
data_LiW2Au
_chemical_formula_sum 'Li2 W4 Au2'
_space_group_name_H-M_alt 'I 4/m m m'
_space_group_IT_number 139
_space_group_name_Hall '-I 4 2'
_cell_length_a 3.6786
_cell_length_b 3.6786
_cell_length_c 8.7688
_cell_angle_alpha 90.00
_cell_angle_beta 90.00
_cell_angle_gamma 90.00
loop_
_atom_site_label
_atom_site_type_symbol
_atom_site_fract_x
_atom_site_fract_y
_atom_site_fract_z
_atom_site_occupancy
Li1 Li 0.0000 0.0000 0.0000 1
W1 W 0.0000 0.5000 0.2500 1
Au1 Au 0.0000 0.0000 0.5000 1
```

---

## LiW2Au (meta-GGA SCAN)

Data for a PBEsol-optimized structure of LiW2Au.

Results
Formation energy from the elements, eV per atom: 0.16
VASP energy, eV per atom: -52.573
ΔE to the lowest computed polymorph, meV per atom: 0
Volume, Å³ per atom: 15.70

Geometry as CIF:
```
data_LiW2Au
_chemical_formula_sum 'Li2 W4 Au2'
_space_group_name_H-M_alt 'C m m 2'
_space_group_IT_number 35
_cell_length_a 3.1523
_cell_length_b 4.3873
_cell_length_c 9.0839
_cell_angle_alpha 90.00
_cell_angle_beta 90.00
_cell_angle_gamma 90.00
loop_
_space_group_symop_operation_xyz
'x,y,z'
'-x,-y,z'
'-x,y,z'
'x,-y,z'
'x+1/2,y+1/2,z'
'-x+1/2,-y+1/2,z'
'-x+1/2,y+1/2,z'
'x+1/2,-y+1/2,z'
loop_
_atom_site_label
_atom_site_type_symbol
_atom_site_fract_x
_atom_site_fract_y
_atom_site_fract_z
_atom_site_occupancy
Li1 Li 0.0000 0.0000 0.0000 1
W1 W 0.0000 0.0000 0.5036 1
W2 W 0.0000 0.5000 0.2629 1
Au1 Au 0.0000 0.5000 0.7649 1
```

---

## LiW2Au (meta-GGA SCAN)

Data for a PBEsol-optimized structure of LiW2Au.

Results
Formation energy from the elements, eV per atom: 0.57
VASP energy, eV per atom: -52.159
ΔE to the lowest computed polymorph, meV per atom: 414
Volume, Å³ per atom: 15.92

Geometry as CIF:
```
data_LiW2Au
_chemical_formula_sum 'Li2 W4 Au2'
_space_group_name_H-M_alt 'C m m m'
_space_group_IT_number 65
_space_group_name_Hall '-C 2 2'
_cell_length_a 3.0059
_cell_length_b 4.3730
_cell_length_c 9.6915
_cell_angle_alpha 90.00
_cell_angle_beta 90.00
_cell_angle_gamma 90.00
loop_
_atom_site_label
_atom_site_type_symbol
_atom_site_fract_x
_atom_site_fract_y
_atom_site_fract_z
_atom_site_occupancy
Li1 Li 0.0000 0.0000 0.0000 1
W1 W 0.0000 0.5000 0.2500 1
Au1 Au 0.0000 0.0000 0.5000 1
```

---

## Li2YAu (meta-GGA SCAN)

Data for a PBEsol-optimized structure of Li2YAu.

Results
Formation energy from the elements, eV per atom: -0.51
VASP energy, eV per atom: -25.953
ΔE to the lowest computed polymorph, meV per atom: 0
Volume, Å³ per atom: 19.28

Geometry as CIF:
```
data_Li2YAu
_chemical_formula_sum 'Li8 Y4 Au4'
_space_group_name_H-M_alt 'F -4 3 m'
_space_group_IT_number 216
_space_group_name_Hall 'F -4 2 3'
_cell_length_a 6.7564
_cell_length_b 6.7564
_cell_length_c 6.7564
_cell_angle_alpha 90.00
_cell_angle_beta 90.00
_cell_angle_gamma 90.00
loop_
_atom_site_label
_atom_site_type_symbol
_atom_site_fract_x
_atom_site_fract_y
_atom_site_fract_z
_atom_site_occupancy
Li1 Li 0.0000 0.0000 0.0000 1
Li2 Li 0.2500 0.2500 0.2500 1
Y1 Y 0.2500 0.2500 0.7500 1
Au1 Au 0.0000 0.0000 0.5000 1
```

---

## LiY2Au (meta-GGA SCAN)

Data for a PBEsol-optimized structure of LiY2Au.

Results
Formation energy from the elements, eV per atom: -0.59
VASP energy, eV per atom: -32.400
Volume, Å³ per atom: 22.51

Geometry as CIF:
```
data_LiY2Au
_chemical_formula_sum 'Li1 Y2 Au1'
_space_group_name_H-M_alt 'P 4/m m m'
_space_group_IT_number 123
_space_group_name_Hall '-P 4 2'
_cell_length_a 4.9579
_cell_length_b 4.9579
_cell_length_c 3.6631
_cell_angle_alpha 90.00
_cell_angle_beta 90.00
_cell_angle_gamma 90.00
loop_
_atom_site_label
_atom_site_type_symbol
_atom_site_fract_x
_atom_site_fract_y
_atom_site_fract_z
_atom_site_occupancy
Li1 Li 0.0000 0.0000 0.0000 1
Y1 Y 0.0000 0.5000 0.5000 1
Au1 Au 0.5000 0.5000 0.0000 1
```

---

## Li4YAu (meta-GGA SCAN)

Data for a PBEsol-optimized structure of Li4YAu.

Results
Formation energy from the elements, eV per atom: -0.24
VASP energy, eV per atom: -18.000
Volume, Å³ per atom: 16.72

Geometry as CIF:
```
data_Li4YAu
_chemical_formula_sum 'Li16 Y4 Au4'
_space_group_name_H-M_alt 'F -4 3 m'
_space_group_IT_number 216
_space_group_name_Hall 'F -4 2 3'
_cell_length_a 7.3755
_cell_length_b 7.3755
_cell_length_c 7.3755
_cell_angle_alpha 90.00
_cell_angle_beta 90.00
_cell_angle_gamma 90.00
loop_
_atom_site_label
_atom_site_type_symbol
_atom_site_fract_x
_atom_site_fract_y
_atom_site_fract_z
_atom_site_occupancy
Li1 Li 0.1218 0.1218 0.1218 1
Y1 Y 0.0000 0.0000 0.5000 1
Au1 Au 0.2500 0.2500 0.7500 1
```

---

## Li2YAu (meta-GGA SCAN)

Data for a PBEsol-optimized structure of Li2YAu.

Results
Formation energy from the elements, eV per atom: -0.49
VASP energy, eV per atom: -25.931
ΔE to the lowest computed polymorph, meV per atom: 21
Volume, Å³ per atom: 20.73

Geometry as CIF:
```
data_Li2YAu
_chemical_formula_sum 'Li2 Y1 Au1'
_space_group_name_H-M_alt 'P 4 m m'
_space_group_IT_number 99
_cell_length_a 3.5094
_cell_length_b 3.5094
_cell_length_c 6.7318
_cell_angle_alpha 90.00
_cell_angle_beta 90.00
_cell_angle_gamma 90.00
loop_
_space_group_symop_operation_xyz
'x,y,z'
'-y,x,z'
'-x,-y,z'
'y,-x,z'
'-x,y,z'
'y,x,z'
'x,-y,z'
'-y,-x,z'
loop_
_atom_site_label
_atom_site_type_symbol
_atom_site_fract_x
_atom_site_fract_y
_atom_site_fract_z
_atom_site_occupancy
Li1 Li 0.0000 0.0000 0.0000 1
Li2 Li 0.5000 0.5000 0.1951 1
Y1 Y 0.0000 0.0000 0.5541 1
Au1 Au 0.5000 0.5000 0.7855 1
```

---

Question: Which formula does entry 6 have?
Answer: LiW2Au